# 1
First-principles (GGA-PBE) data for a relaxed La2TlRe2 crystal, as listed in the Alexandria database.

## Properties
V = 134.85 Å³/cell
uncorrected energy = -6.777 eV per atom
symmetry = I4/mmm (139)

Unit cell a=5.7678 b=5.7678 c=5.7678 alpha=120.40 beta=120.40 gamma=89.31
Closest atoms and distances in Å follow each position.
Fractional positions:
La: 0.2500 0.7500 0.5000  4 Re 2.99
La: 0.7500 0.2500 0.5000  4 Re 2.99
Tl: 0.0000 0.0000 0.0000  2 Re 2.89
Re: 0.3528 0.3528 0.0000  1 Re 2.42
Re: 0.6472 0.6472 0.0000  1 Re 2.42

***

# 2
First-principles (GGA-PBE) data for a relaxed Tm3Al2Pt6 crystal, as listed in the Alexandria database.

## Properties
V = 423.00 Å³/cell
uncorrected energy = -6.350 eV per atom
symmetry = Im-3m (229)

Unit cell a=8.1907 b=8.1907 c=8.1907 alpha=109.47 beta=109.47 gamma=109.47
Closest atoms and distances in Å follow each position.
Fractional positions:
Tm: 0.0000 0.3007 0.3007  8 Pt 3.04-3.05, 4 Al 3.38
Tm: 0.0000 0.6993 0.6993  8 Pt 3.04-3.05, 4 Al 3.38
Tm: 0.3007 0.0000 0.3007  8 Pt 3.04-3.05, 4 Al 3.38
Tm: 0.3007 0.3007 0.0000  8 Pt 3.04-3.05, 4 Al 3.38
Tm: 0.6993 0.0000 0.6993  8 Pt 3.04-3.05, 4 Al 3.38
Tm: 0.6993 0.6993 0.0000  8 Pt 3.04-3.05, 4 Al 3.38
Al: 0.0000 0.0000 0.5000  6 Pt 2.55
Al: 0.0000 0.5000 0.0000  6 Pt 2.55
Al: 0.5000 0.0000 0.0000  6 Pt 2.55
Al: 0.5000 0.5000 0.5000  6 Pt 2.55
Pt: 0.0000 0.3205 0.6795  2 Al 2.55, 4 Pt 2.75
Pt: 0.0000 0.6795 0.3205  2 Al 2.55, 4 Pt 2.75
Pt: 0.3205 0.0000 0.6795  2 Al 2.55, 4 Pt 2.75
Pt: 0.3205 0.3205 0.6410  2 Al 2.55, 4 Pt 2.75
Pt: 0.3205 0.6410 0.3205  2 Al 2.55, 4 Pt 2.75
Pt: 0.3205 0.6795 0.0000  2 Al 2.55, 4 Pt 2.75
Pt: 0.3590 0.6795 0.6795  2 Al 2.55, 4 Pt 2.75
Pt: 0.6410 0.3205 0.3205  2 Al 2.55, 4 Pt 2.75
Pt: 0.6795 0.0000 0.3205  2 Al 2.55, 4 Pt 2.75
Pt: 0.6795 0.3205 0.0000  2 Al 2.55, 4 Pt 2.75
Pt: 0.6795 0.3590 0.6795  2 Al 2.55, 4 Pt 2.75
Pt: 0.6795 0.6795 0.3590  2 Al 2.55, 4 Pt 2.75

***

# 3
First-principles (GGA-PBE) data for a relaxed Ac3Sm8Dy crystal, as listed in the Alexandria database.

## Properties
V = 464.01 Å³/cell
uncorrected energy = -4.317 eV per atom
symmetry = Immm (71)

Unit cell a=8.9921 b=8.9921 c=8.9921 alpha=136.61 beta=98.81 gamma=96.90
Closest atoms and distances in Å follow each position.
Fractional positions:
Ac: 0.0000 0.0000 0.0000  8 Sm 3.53-3.61
Ac: 0.2558 0.5000 0.7558  10 Sm 3.90-4.33
Ac: 0.7442 0.5000 0.2442  10 Sm 3.90-4.33
Sm: 0.0798 0.8270 0.2527  6 Sm 3.45-3.80, 1 Dy 3.55, 1 Ac 3.61
Sm: 0.2635 0.0206 0.7571  6 Sm 3.23-3.54, 1 Dy 3.30, 1 Ac 3.53
Sm: 0.2635 0.5064 0.2429  6 Sm 3.23-3.54, 1 Dy 3.30, 1 Ac 3.53
Sm: 0.4257 0.1730 0.2527  6 Sm 3.45-3.80, 1 Dy 3.55, 1 Ac 3.61
Sm: 0.5743 0.8270 0.7473  6 Sm 3.45-3.80, 1 Dy 3.55, 1 Ac 3.61
Sm: 0.7365 0.4936 0.7571  6 Sm 3.23-3.54, 1 Dy 3.30, 1 Ac 3.53
Sm: 0.7365 0.9794 0.2429  6 Sm 3.23-3.54, 1 Dy 3.30, 1 Ac 3.53
Sm: 0.9202 0.1730 0.7473  6 Sm 3.45-3.80, 1 Dy 3.55, 1 Ac 3.61
Dy: 0.5000 0.0000 0.5000  8 Sm 3.30-3.55

***

# 4
First-principles (GGA-PBE) data for a relaxed ScTaOs crystal, as listed in the Alexandria database.

## Properties
V = 53.52 Å³/cell
uncorrected energy = -9.785 eV per atom
symmetry = Fmm2 (42)

Unit cell a=7.1797 b=6.9638 c=2.9119 alpha=82.31 beta=73.99 gamma=23.70
Closest atoms and distances in Å follow each position.
Fractional positions:
Sc: 0.0000 0.0000 0.0000  2 Os 2.72, 4 Sc 2.91
Ta: 0.6898 0.6898 0.3102  2 Os 2.62, 4 Ta 2.91
Os: 0.3402 0.3402 0.6598  2 Ta 2.62, 2 Sc 2.72, 4 Os 2.91